1.
Here is crystalline TlIr2S at its relaxed geometry from Alexandria. Energies are from GGA-PBE.

Summary:
Excess energy over the best structure of this formula in the dataset in meV/atom: 606
SG: Fm-3m
Density of states at the Fermi level in states/eV/f.u.: 6.0

a b c (Å): 4.5613 4.5613 4.5613
angles (deg): 60.00 60.00 60.00
Atoms (fractional coordinates):
Tl  0.5000  0.5000  0.5000
Ir  0.7500  0.7500  0.7500
Ir  0.2500  0.2500  0.2500
S  0.0000  0.0000  0.0000

---

2.
Here is crystalline U3Tl3IrS8 at its relaxed geometry from Alexandria. Energies are from GGA-PBE.

Summary:
Uncorrected energy in eV/atom: -6.40
SG: R-3m
Density of states at the Fermi level in states/eV/f.u.: 12.6

a b c (Å): 7.5541 7.5563 9.0668
angles (deg): 114.65 90.00 119.99
Atoms (fractional coordinates):
Ir  0.0000  0.0000  0.5000
S  0.2155  0.9717  0.6872
Tl  0.0000  0.0000  0.0000
S  0.7845  0.0283  0.3128
Tl  0.5000  0.5000  0.0000
S  0.7846  0.5692  0.3129
S  0.2651  0.5303  0.2954
U  0.0000  0.5000  0.5000
U  0.5000  0.0000  0.5000
S  0.2438  0.0283  0.3129
S  0.7562  0.9717  0.6871
S  0.2154  0.4308  0.6871
S  0.7349  0.4697  0.7046
U  0.5000  0.5000  0.5000
Tl  0.0000  0.5000  0.0000

---

3.
Here is crystalline U2Tl2IrS6 at its relaxed geometry from Alexandria. Energies are from GGA-PBE.

Summary:
Uncorrected energy in eV/atom: -6.37
SG: C2/m
Density of states at the Fermi level in states/eV/f.u.: 15.2

a b c (Å): 6.3884 6.3884 8.2574
angles (deg): 98.21 98.21 119.62
Atoms (fractional coordinates):
S  0.2329  0.2329  0.3097
Tl  0.8260  0.1740  0.0000
S  0.0740  0.3784  0.6942
Ir  0.0000  0.0000  0.5000
S  0.3784  0.0740  0.6942
S  0.9260  0.6216  0.3058
Tl  0.1740  0.8260  0.0000
S  0.7671  0.7671  0.6903
U  0.3303  0.6697  0.5000
S  0.6216  0.9260  0.3058
U  0.6697  0.3303  0.5000

---

4.
Here is crystalline TmIrS at its relaxed geometry from Alexandria. Energies are from GGA-PBE.

Summary:
Uncorrected energy in eV/atom: -6.32
SG: Amm2
Density of states at the Fermi level in states/eV/f.u.: 2.3

a b c (Å): 3.3951 3.7586 10.2115
angles (deg): 90.00 90.00 116.85
Atoms (fractional coordinates):
Tm  0.2751  0.5501  0.1806
Tm  0.2751  0.5501  0.8194
Ir  0.5855  0.1711  0.0000
Ir  0.3312  0.6625  0.5000
S  0.5999  0.1997  0.3559
S  0.5999  0.1997  0.6441

---

5.
Here is crystalline Tm7IrS5 at its relaxed geometry from Alexandria. Energies are from GGA-PBE.

Summary:
Uncorrected energy in eV/atom: -6.35
SG: Cmc2_1
Density of states at the Fermi level in states/eV/f.u.: 5.0

a b c (Å): 3.7972 6.6296 23.1742
angles (deg): 90.00 90.00 106.68
Atoms (fractional coordinates):
Tm  0.7965  0.5935  0.6797
S  0.0097  0.0192  0.9986
Tm  0.4633  0.9259  0.2486
Tm  0.5372  0.0752  0.7486
S  0.7316  0.4635  0.9295
S  0.4415  0.8845  0.6410
Tm  0.6317  0.2633  0.4654
Tm  0.3688  0.7378  0.9654
Tm  0.9174  0.8339  0.1103
S  0.9908  0.9819  0.4986
Tm  0.2041  0.4077  0.1797
Tm  0.3533  0.7074  0.5371
S  0.7171  0.4349  0.5714
Ir  0.1942  0.3883  0.7574
Tm  0.8111  0.6226  0.8206
S  0.5456  0.0904  0.3604
S  0.2690  0.5377  0.4295
S  0.4550  0.9108  0.8605
Ir  0.8064  0.6129  0.2574
Tm  0.1038  0.2079  0.8799
Tm  0.0831  0.1673  0.6102
S  0.2835  0.5662  0.0714
Tm  0.1894  0.3786  0.3206
Tm  0.8968  0.7933  0.3799
Tm  0.6473  0.2937  0.0371
S  0.5591  0.1167  0.1410

---

6.
Here is crystalline UIr2S6 at its relaxed geometry from Alexandria. Energies are from GGA-PBE.

Summary:
Uncorrected energy in eV/atom: -6.74
SG: C2/m
Density of states at the Fermi level in states/eV/f.u.: 2.2

a b c (Å): 3.6700 7.7498 8.1336
angles (deg): 113.79 103.04 90.00
Atoms (fractional coordinates):
U  0.5000  0.0000  0.0000
Ir  0.1594  0.3145  0.3189
S  0.6753  0.1256  0.3507
S  0.3246  0.4705  0.6493
S  0.6754  0.5295  0.3507
Ir  0.8406  0.6855  0.6811
S  0.3247  0.8744  0.6493
S  0.9968  0.2363  0.9936
S  0.0032  0.7637  0.0064

---

7.
Here is crystalline UIrS2 at its relaxed geometry from Alexandria. Energies are from GGA-PBE.

Summary:
Uncorrected energy in eV/atom: -7.19
SG: R-3m
Density of states at the Fermi level in states/eV/f.u.: 7.1

a b c (Å): 3.5106 3.5106 8.2952
angles (deg): 77.78 77.78 60.00
Atoms (fractional coordinates):
U  0.0000  0.0000  0.0000
S  0.8845  0.8845  0.3465
S  0.1155  0.1155  0.6535
Ir  0.5000  0.5000  0.5000

---

8.
Here is crystalline VIrS2 at its relaxed geometry from Alexandria. Energies are from GGA-PBE.

Summary:
Uncorrected energy in eV/atom: -6.84
SG: I-42d
Density of states at the Fermi level in states/eV/f.u.: 2.4

a b c (Å): 5.2293 5.2293 6.5210
angles (deg): 66.36 66.36 90.00
Atoms (fractional coordinates):
V  0.5000  0.5000  0.0000
Ir  0.7500  0.2500  0.5000
V  0.2500  0.7500  0.5000
S  0.1284  0.6250  0.2500
S  0.6216  0.1250  0.2500
S  0.3750  0.3784  0.7500
Ir  0.0000  0.0000  0.0000
S  0.8750  0.8716  0.7500

---

9.
Here is crystalline VIr3S at its relaxed geometry from Alexandria. Energies are from GGA-PBE.

Summary:
Excess energy over the best structure of this formula in the dataset in meV/atom: 808
SG: Pm-3m
Density of states at the Fermi level in states/eV/f.u.: 8.3

a b c (Å): 4.5433 4.5433 4.5433
angles (deg): 90.00 90.00 90.00
Atoms (fractional coordinates):
S  0.5000  0.5000  0.5000
Ir  0.0000  0.5000  0.0000
Ir  0.0000  0.0000  0.5000
V  0.0000  0.0000  0.0000
Ir  0.5000  0.0000  0.0000

---

10.
Here is crystalline VIrS2 at its relaxed geometry from Alexandria. Energies are from GGA-PBE.

Summary:
Uncorrected energy in eV/atom: -7.06
SG: R-3m
Density of states at the Fermi level in states/eV/f.u.: 2.5

a b c (Å): 7.7965 7.7965 7.7965
angles (deg): 22.21 22.21 22.21
Atoms (fractional coordinates):
V  0.5000  0.5000  0.5000
S  0.9008  0.9008  0.9008
S  0.0992  0.0992  0.0992
Ir  0.0000  0.0000  0.0000

---

11.
Here is crystalline VIrS2 at its relaxed geometry from Alexandria. Energies are from GGA-PBE.

Summary:
Uncorrected energy in eV/atom: -6.56
SG: Fm-3m
Density of states at the Fermi level in states/eV/f.u.: 3.8

a b c (Å): 4.2239 4.2239 4.2239
angles (deg): 60.00 60.00 60.00
Atoms (fractional coordinates):
S  0.7500  0.7500  0.7500
S  0.2500  0.2500  0.2500
Ir  0.5000  0.5000  0.5000
V  0.0000  0.0000  0.0000

---

12.
Here is crystalline VIr3S at its relaxed geometry from Alexandria. Energies are from GGA-PBE.

Summary:
Excess energy over the best structure of this formula in the dataset in meV/atom: 0
SG: Pm-3m
Density of states at the Fermi level in states/eV/f.u.: 6.7

a b c (Å): 4.3891 4.3891 4.3891
angles (deg): 90.00 90.00 90.00
Atoms (fractional coordinates):
Ir  0.5000  0.0000  0.0000
S  0.0000  0.0000  0.0000
Ir  0.0000  0.5000  0.0000
V  0.5000  0.5000  0.5000
Ir  0.0000  0.0000  0.5000

---

13.
Here is crystalline VIrS2 at its relaxed geometry from Alexandria. Energies are from GGA-PBE.

Summary:
Uncorrected energy in eV/atom: -6.53
SG: R-3m
Density of states at the Fermi level in states/eV/f.u.: 2.2

a b c (Å): 7.4643 7.4643 7.4643
angles (deg): 27.43 27.43 27.43
Atoms (fractional coordinates):
Ir  0.5000  0.5000  0.5000
S  0.8899  0.8899  0.8899
V  0.0000  0.0000  0.0000
S  0.1101  0.1101  0.1101

---

14.
Here is crystalline V2IrWS at its relaxed geometry from Alexandria. Energies are from GGA-PBE.

Summary:
Uncorrected energy in eV/atom: -8.41
SG: P4/mmm
Density of states at the Fermi level in states/eV/f.u.: 3.9

a b c (Å): 4.2296 4.3275 4.2296
angles (deg): 90.00 90.00 90.00
Atoms (fractional coordinates):
S  0.0000  0.0000  0.0000
Ir  0.0000  0.5000  0.0000
V  0.0000  0.0000  0.5000
V  0.5000  0.0000  0.0000
W  0.5000  0.5000  0.5000

---

15.
Here is crystalline IrW3S at its relaxed geometry from Alexandria. Energies are from GGA-PBE.

Summary:
Excess energy over the best structure of this formula in the dataset in meV/atom: 0
SG: Pm-3m
Density of states at the Fermi level in states/eV/f.u.: 5.1

a b c (Å): 4.3675 4.3675 4.3675
angles (deg): 90.00 90.00 90.00
Atoms (fractional coordinates):
S  0.0000  0.0000  0.0000
Ir  0.5000  0.5000  0.5000
W  0.0000  0.5000  0.0000
W  0.5000  0.0000  0.0000
W  0.0000  0.0000  0.5000

---

16.
Here is crystalline IrWS3 at its relaxed geometry from Alexandria. Energies are from GGA-PBE.

Summary:
Excess energy over the best structure of this formula in the dataset in meV/atom: 231
SG: Pm-3m
Density of states at the Fermi level in states/eV/f.u.: 3.7

a b c (Å): 4.5825 4.5825 4.5825
angles (deg): 90.00 90.00 90.00
Atoms (fractional coordinates):
S  0.0000  0.0000  0.5000
S  0.0000  0.5000  0.0000
W  0.5000  0.5000  0.5000
Ir  0.0000  0.0000  0.0000
S  0.5000  0.0000  0.0000

---

17.
Here is crystalline Ir3WS at its relaxed geometry from Alexandria. Energies are from GGA-PBE.

Summary:
Excess energy over the best structure of this formula in the dataset in meV/atom: 810
SG: Pm-3m
Density of states at the Fermi level in states/eV/f.u.: 6.7

a b c (Å): 4.7644 4.7644 4.7644
angles (deg): 90.00 90.00 90.00
Atoms (fractional coordinates):
Ir  0.0000  0.0000  0.5000
Ir  0.5000  0.0000  0.0000
Ir  0.0000  0.5000  0.0000
S  0.5000  0.5000  0.5000
W  0.0000  0.0000  0.0000

---

18.
Here is crystalline IrWS3 at its relaxed geometry from Alexandria. Energies are from GGA-PBE.

Summary:
Excess energy over the best structure of this formula in the dataset in meV/atom: 0
SG: Pm-3m
Density of states at the Fermi level in states/eV/f.u.: 8.6

a b c (Å): 4.6300 4.6300 4.6300
angles (deg): 90.00 90.00 90.00
Atoms (fractional coordinates):
S  0.0000  0.0000  0.5000
S  0.0000  0.5000  0.0000
W  0.0000  0.0000  0.0000
Ir  0.5000  0.5000  0.5000
S  0.5000  0.0000  0.0000

---

19.
Here is crystalline IrW3S at its relaxed geometry from Alexandria. Energies are from GGA-PBE.

Summary:
Excess energy over the best structure of this formula in the dataset in meV/atom: 1264
SG: Pm-3m
Density of states at the Fermi level in states/eV/f.u.: 5.7

a b c (Å): 4.7770 4.7770 4.7770
angles (deg): 90.00 90.00 90.00
Atoms (fractional coordinates):
W  0.5000  0.0000  0.0000
Ir  0.0000  0.0000  0.0000
W  0.0000  0.0000  0.5000
W  0.0000  0.5000  0.0000
S  0.5000  0.5000  0.5000

---

20.
Here is crystalline IrWS at its relaxed geometry from Alexandria. Energies are from GGA-PBE.

Summary:
Uncorrected energy in eV/atom: -8.77
SG: Amm2
Density of states at the Fermi level in states/eV/f.u.: 0.7

a b c (Å): 2.9458 2.9529 12.6224
angles (deg): 90.00 90.00 119.92
Atoms (fractional coordinates):
W  0.4053  0.8106  0.5000
S  0.1500  0.3000  0.8661
S  0.1500  0.3000  0.1339
Ir  0.7396  0.4792  0.6622
Ir  0.7396  0.4792  0.3378
W  0.4821  0.9641  0.0000